1.
VASP calculation (PBE) on Ce2NdHoSe4 after structural relaxation.

Cell lengths 4.1455, 7.2731, 7.2287 Å; angles 70.90, 90.00, 90.00 degrees
Site moments in Bohr magnetons follow the coordinates.
Fractional coordinates of all 8 atoms:
Nd: 0.5000 0.5000 0.0000  0.00
Se: 0.0000 0.2536 0.2563  -0.01
Ce: 0.5000 0.0000 0.5000  0.79
Ce: 0.0000 0.0000 0.0000  0.90
Ho: 0.0000 0.5000 0.5000  0.00
Se: 0.5000 0.2591 0.7395  -0.01
Se: 0.0000 0.7464 0.7437  -0.01
Se: 0.5000 0.7409 0.2605  -0.01

Results
Its space-group type is P2/m (10). The uncorrected energy is -49.59 eV for the cell shown.



2.
VASP calculation (PBE) on Zn2PtBr6 after structural relaxation.

Cell lengths 7.4789, 9.5152, 9.5152 Å; angles 72.51, 67.09, 67.09 degrees
Fractional coordinates of all 18 atoms:
Zn: 0.7891 0.3792 0.1671
Br: 0.9211 0.3094 0.3816
Pt: 0.7500 0.8185 0.1815
Br: 0.8782 0.2656 0.9394
Br: 0.2108 0.0397 0.6612
Br: 0.7892 0.9603 0.3388
Pt: 0.2500 0.1815 0.8185
Br: 0.1218 0.7344 0.0606
Br: 0.6218 0.0606 0.7344
Zn: 0.2109 0.6208 0.8329
Br: 0.0789 0.6906 0.6184
Br: 0.2892 0.3388 0.9603
Zn: 0.7109 0.8329 0.6208
Br: 0.7108 0.6612 0.0397
Zn: 0.2891 0.1671 0.3792
Br: 0.4211 0.3816 0.3094
Br: 0.5789 0.6184 0.6906
Br: 0.3782 0.9394 0.2656

Results
Its space-group type is C2/c (15). The uncorrected energy is -47.92 eV for the cell shown.



3.
VASP calculation (PBE) on NaFe3Au after structural relaxation.

Cell lengths 4.8618, 4.8618, 4.8618 Å; angles 90.00, 90.00, 90.00 degrees
Site moments in Bohr magnetons follow the coordinates.
Fractional coordinates of all 5 atoms:
Na: 0.5000 0.5000 0.5000  -0.02
Fe: 0.5000 0.0000 0.0000  2.54
Au: 0.0000 0.0000 0.0000  0.16
Fe: 0.0000 0.0000 0.5000  3.72
Fe: 0.0000 0.5000 0.0000  3.27

Results
Its space-group type is Pm-3m (221). The distance to the lowest polymorph of the same formula comes out at 0.0000 eV per atom.



4.
VASP calculation (PBE) on Sm4TmTl3 after structural relaxation.

Cell lengths 5.4530, 5.4530, 9.8185 Å; angles 73.88, 73.88, 60.00 degrees
Site moments in Bohr magnetons follow the coordinates.
Fractional coordinates of all 8 atoms:
Sm: 0.3867 0.3867 0.8398  0.08
Tl: 0.5000 0.5000 0.5000  0.01
Tm: 0.0000 0.0000 0.0000  0.23
Sm: 0.1307 0.1307 0.6079  0.18
Sm: 0.6133 0.6133 0.1602  0.08
Tl: 0.7343 0.7343 0.7972  0.00
Sm: 0.8693 0.8693 0.3921  0.18
Tl: 0.2657 0.2657 0.2028  0.00

Results
Its space-group type is R-3m (166). The distance to the lowest polymorph of the same formula comes out at 0.0000 eV per atom.



5.
VASP calculation (PBE) on ReSiPt2 after structural relaxation.

Cell lengths 5.9794, 4.8565, 2.7508 Å; angles 90.10, 62.43, 118.98 degrees
Fractional coordinates of all 4 atoms:
Pt: 0.5000 0.0000 0.5000
Pt: 0.0000 0.0000 0.0000
Re: 0.0000 0.5000 0.5000
Si: 0.5000 0.5000 0.0000

Results
Its space-group type is C2/m (12). The uncorrected energy is -30.28 eV for the cell shown.



6.
VASP calculation (PBE) on AcCeAgSe4 after structural relaxation.

Cell lengths 7.3759, 6.0920, 8.7534 Å; angles 90.00, 106.79, 90.00 degrees
Site moments in Bohr magnetons follow the coordinates.
Fractional coordinates of all 14 atoms:
Ag: 0.7458 0.2500 0.6809  0.00
Se: 0.9662 0.0179 0.2556  0.02
Ce: 0.7327 0.7500 0.4315  0.91
Se: 0.0338 0.9821 0.7444  0.02
Se: 0.4365 0.7500 0.1083  -0.01
Se: 0.9662 0.4821 0.2556  0.02
Ag: 0.2542 0.7500 0.3191  0.00
Ac: 0.7433 0.7500 0.9370  0.00
Se: 0.5635 0.2500 0.8917  -0.01
Ac: 0.2567 0.2500 0.0630  0.00
Se: 0.5559 0.2500 0.3855  -0.01
Se: 0.0338 0.5179 0.7444  0.02
Se: 0.4441 0.7500 0.6145  -0.01
Ce: 0.2673 0.2500 0.5685  0.91

Results
Its space-group type is P2_1/m (11). The uncorrected energy is -72.66 eV for the cell shown.



7.
VASP calculation (PBE) on Rb3YPu2O9 after structural relaxation.

Cell lengths 6.1150, 6.1150, 7.4989 Å; angles 90.00, 90.00, 120.00 degrees
Site moments in Bohr magnetons follow the coordinates.
Fractional coordinates of all 15 atoms:
O: 0.5000 0.0000 0.0000  -0.13
O: 0.8241 0.1759 0.6795  -0.10
Pu: 0.6667 0.3333 0.8355  2.50
O: 0.0000 0.5000 0.0000  -0.13
O: 0.5000 0.5000 0.0000  -0.13
Rb: 0.3333 0.6667 0.6626  0.00
O: 0.6481 0.8241 0.3205  -0.10
O: 0.1759 0.3519 0.3205  -0.10
O: 0.8241 0.6481 0.6795  -0.10
Rb: 0.0000 0.0000 0.0000  0.00
Rb: 0.6667 0.3333 0.3374  0.00
Y: 0.0000 0.0000 0.5000  -0.01
O: 0.3519 0.1759 0.6795  -0.10
O: 0.1759 0.8241 0.3205  -0.10
Pu: 0.3333 0.6667 0.1645  2.50

Results
Its space-group type is P-3m1 (164). The uncorrected energy is -120.47 eV for the cell shown.



8.
VASP calculation (PBE) on TcPd2Pt5 after structural relaxation.

Cell lengths 3.9539, 3.9539, 8.3663 Å; angles 103.67, 103.67, 90.00 degrees
Site moments in Bohr magnetons follow the coordinates.
Fractional coordinates of all 8 atoms:
Tc: 0.0000 0.0000 0.0000  0.38
Pd: 0.7489 0.7489 0.4978  0.03
Pd: 0.2511 0.2511 0.5022  0.03
Pt: 0.1214 0.6214 0.2428  0.05
Pt: 0.6214 0.1214 0.2428  0.05
Pt: 0.5000 0.5000 0.0000  0.06
Pt: 0.8786 0.3786 0.7572  0.05
Pt: 0.3786 0.8786 0.7572  0.05

Results
Its space-group type is I4/mmm (139). The uncorrected energy is -51.51 eV for the cell shown.